Record 1
# La3PmInRh | Alexandria | PBE | optimized geometry
data_La3PmInRh
_cell_length_a 16.836
_cell_length_b 7.565
_cell_length_c 6.110
_cell_angle_alpha 90.00
_cell_angle_beta 111.26
_cell_angle_gamma 90.00
_space_group_name_H-M_alt 'C 1 2/m 1'
_space_group_IT_number 12
_space_group_name_Hall '-C 2y'
loop_
_atom_site_label
_atom_site_fract_x
_atom_site_fract_y
_atom_site_fract_z
La1 0.121 0.246 0.121
La2 0.186 0.500 0.685
Pm1 0.000 0.203 0.500
In1 0.193 0.000 0.693
Rh1 0.001 0.500 0.765
# Spin magnetization = 0.0 μB per cell
# Energy of formation = -0.434 eV per atom

=====

Record 2
# SrLiCa2Br8 | Alexandria | PBE | optimized geometry
data_SrLiCa2Br8
_cell_length_a 7.2566
_cell_length_b 7.2566
_cell_length_c 7.8908
_cell_angle_alpha 90.00
_cell_angle_beta 90.00
_cell_angle_gamma 120.00
_space_group_name_H-M_alt 'P -3'
_space_group_IT_number 147
_space_group_name_Hall '-P 3'
loop_
_atom_site_label
_atom_site_fract_x
_atom_site_fract_y
_atom_site_fract_z
Sr1 0.0000 0.0000 0.0000
Li1 0.0000 0.0000 0.5000
Ca1 0.3333 0.6667 0.4152
Br1 0.0621 0.3312 0.6861
Br2 0.3333 0.6667 0.0528
# Spin magnetization = 1.1 μB per cell
# Raw total energy = -3.36 eV/atom

=====

Record 3
# ZrIr2Os | Alexandria | PBE | optimized geometry
data_ZrIr2Os
_cell_length_a 3.980
_cell_length_b 3.980
_cell_length_c 8.041
_cell_angle_alpha 90.00
_cell_angle_beta 90.00
_cell_angle_gamma 90.00
_space_group_name_H-M_alt 'I -4 m 2'
_space_group_IT_number 119
_space_group_name_Hall 'I -4 -2'
loop_
_atom_site_label
_atom_site_fract_x
_atom_site_fract_y
_atom_site_fract_z
Zr1 0.000 0.000 0.000
Ir1 0.000 0.000 0.500
Ir2 0.000 0.500 0.250
Os1 0.000 0.500 0.750
# Spin magnetization = 0.0 μB per cell
# Energy of formation = -0.335 eV per atom

=====

Record 4
# RbSmFe2Br8 | Alexandria | PBE | optimized geometry
data_RbSmFe2Br8
_cell_length_a 11.360
_cell_length_b 7.864
_cell_length_c 10.242
_cell_angle_alpha 90.00
_cell_angle_beta 95.67
_cell_angle_gamma 90.00
_space_group_name_H-M_alt 'C 1 2/m 1'
_space_group_IT_number 12
_space_group_name_Hall '-C 2y'
loop_
_atom_site_label
_atom_site_fract_x
_atom_site_fract_y
_atom_site_fract_z
Rb1 0.000 0.000 0.000
Sm1 0.000 0.000 0.500
Fe1 0.121 0.500 0.284
Br1 0.014 0.251 0.707
Br2 0.197 0.500 0.078
Br3 0.247 0.500 0.493
# Spin magnetization = 16.0 μB per cell
# Raw total energy = -4.08 eV/atom

=====

Record 5
# BeInReB2 | Alexandria | PBE | optimized geometry
data_BeInReB2
_cell_length_a 4.095
_cell_length_b 4.095
_cell_length_c 5.324
_cell_angle_alpha 90.00
_cell_angle_beta 90.00
_cell_angle_gamma 90.00
_space_group_name_H-M_alt 'P 4/m m m'
_space_group_IT_number 123
_space_group_name_Hall '-P 4 2'
loop_
_atom_site_label
_atom_site_fract_x
_atom_site_fract_y
_atom_site_fract_z
Be1 0.000 0.000 0.000
In1 0.500 0.500 0.000
Re1 0.500 0.500 0.500
B1 0.000 0.500 0.500
# Spin magnetization = 0.0 μB per cell
# Energy of formation = 1.316 eV per atom

=====

Record 6
# NaTl4Ga | Alexandria | PBE | optimized geometry
data_NaTl4Ga
_cell_length_a 9.101
_cell_length_b 9.101
_cell_length_c 9.101
_cell_angle_alpha 90.00
_cell_angle_beta 90.00
_cell_angle_gamma 90.00
_space_group_name_H-M_alt 'F -4 3 m'
_space_group_IT_number 216
_space_group_name_Hall 'F -4 2 3'
loop_
_atom_site_label
_atom_site_fract_x
_atom_site_fract_y
_atom_site_fract_z
Na1 0.000 0.000 0.000
Tl1 0.125 0.125 0.625
Ga1 0.250 0.250 0.250
# Spin magnetization = 0.0 μB per cell
# Energy of formation = 0.112 eV per atom